[1]
Computed, not measured: a relaxed structure of Nb2BiBr at the PBE-GGA level of DFT.

Properties
V: 20.6 Å³/atom
Excess energy over the best structure of this formula in the dataset: 0 meV per atom
Formation energy from raw total energies: 0.46 eV/atom

Cell and atoms, written as extended XYZ:
```
4
Lattice="0.0000 3.4532 3.4532 3.4532 0.0000 3.4532 3.4532 3.4532 0.0000" Properties=species:S:1:pos:R:3 pbc="T T T"
Nb 1.7266 1.7266 1.7266
Nb 5.1798 5.1798 5.1798
Bi 3.4532 3.4532 3.4532
Br 0.0000 0.0000 0.0000
```

=====

[2]
Computed, not measured: a relaxed structure of SiTeIr2 at the PBE-GGA level of DFT.

Properties
V: 18.4 Å³/atom
Excess energy over the best structure of this formula in the dataset: 50 meV per atom
Formation energy from raw total energies: -0.15 eV/atom

Cell and atoms, written as extended XYZ:
```
4
Lattice="-0.2814 2.7568 -3.1404 -3.3944 1.9299 -1.5148 0.2651 4.6654 2.8809" Properties=species:S:1:pos:R:3 pbc="T T T"
Ir 0.1828 4.5211 2.6499
Ir -2.6195 6.4492 -1.7357
Si -1.4513 5.3369 -0.0644
Te -0.9629 2.3863 -0.6301
```